The following is a DFT calculation (GGA-PBE) of a relaxed structure of YMg3As.

Calculated values
Energy of formation from the pure elements (eV per formula unit): 0.25
V (Å³/cell): 134.18
Polymorph energy (0 for the lowest one) (eV/atom): 0.000

Cell lengths 5.120, 5.120, 5.120 Å; angles 90.00, 90.00, 90.00 degrees
Space group Pm-3m (No. 221)
Asymmetric unit:
Y: 0.000 0.000 0.000 x1
Mg: 0.000 0.500 0.500 x3
As: 0.500 0.500 0.500 x1


The following is a DFT calculation (GGA-PBE) of a relaxed structure of YMg2As.

Calculated values
Energy of formation from the pure elements (eV per formula unit): -1.76
V (Å³/cell): 92.73

Cell lengths 3.813, 3.813, 6.378 Å; angles 90.00, 90.00, 90.00 degrees
Space group P4mm (No. 99)
Asymmetric unit:
Y: 0.000 0.000 0.000 x1
Mg: 0.000 0.000 0.481 x1
Mg: 0.500 0.500 0.694 x1
As: 0.500 0.500 0.201 x1


The following is a DFT calculation (GGA-PBE) of a relaxed structure of Y2MgAs.

Calculated values
Energy of formation from the pure elements (eV per formula unit): -2.11
V (Å³/cell): 193.37
Polymorph energy (0 for the lowest one) (eV/atom): 0.175

Cell lengths 7.025, 7.040, 3.910 Å; angles 90.00, 90.00, 90.00 degrees
Space group Cmmm (No. 65)
Asymmetric unit:
Y: 0.250 0.250 0.000 x4
Mg: 0.000 0.000 0.500 x2
As: 0.000 0.500 0.500 x2


The following is a DFT calculation (GGA-PBE) of a relaxed structure of Y2MgAs.

Calculated values
Energy of formation from the pure elements (eV per formula unit): -1.63
V (Å³/cell): 212.17
Polymorph energy (0 for the lowest one) (eV/atom): 0.295

Cell lengths 4.504, 5.563, 8.469 Å; angles 90.00, 90.00, 90.00 degrees
Space group Cmm2 (No. 35)
Asymmetric unit:
Y: 0.000 0.000 0.000 x2
Y: 0.000 0.500 0.326 x2
Mg: 0.000 0.500 0.713 x2
As: 0.000 0.000 0.530 x2


The following is a DFT calculation (GGA-PBE) of a relaxed structure of Y2MgAs.

Calculated values
Energy of formation from the pure elements (eV per formula unit): -1.52
V (Å³/cell): 347.97
Polymorph energy (0 for the lowest one) (eV/atom): 0.322

Cell lengths 3.9443, 3.9443, 25.8271 Å; angles 90.00, 90.00, 120.00 degrees
Space group R3m (No. 160, hexagonal axes)
Asymmetric unit:
Y: 0.0000 0.0000 0.0000 x3
Y: 0.0000 0.0000 0.2196 x3
Mg: 0.0000 0.0000 0.7690 x3
As: 0.0000 0.0000 0.4881 x3


The following is a DFT calculation (GGA-PBE) of a relaxed structure of YMg3As.

Calculated values
Energy of formation from the pure elements (eV per formula unit): 6.19
V (Å³/cell): 193.26
Polymorph energy (0 for the lowest one) (eV/atom): 1.189

Cell lengths 5.782, 5.782, 5.782 Å; angles 90.00, 90.00, 90.00 degrees
Space group Pm-3m (No. 221)
Asymmetric unit:
Y: 0.000 0.000 0.000 x1
Mg: 0.000 0.000 0.500 x3
As: 0.500 0.500 0.500 x1


The following is a DFT calculation (GGA-PBE) of a relaxed structure of Y2MgAs.

Calculated values
Energy of formation from the pure elements (eV per formula unit): -1.87
V (Å³/cell): 194.50
Polymorph energy (0 for the lowest one) (eV/atom): 0.235

Cell lengths 4.647, 4.647, 9.007 Å; angles 90.00, 90.00, 90.00 degrees
Space group I4/mmm (No. 139)
Asymmetric unit:
Y: 0.000 0.500 0.250 x4
Mg: 0.000 0.000 0.000 x2
As: 0.000 0.000 0.500 x2


The following is a DFT calculation (GGA-PBE) of a relaxed structure of YMg2As.

Calculated values
Energy of formation from the pure elements (eV per formula unit): -1.62
V (Å³/cell): 210.18

Cell lengths 5.622, 9.103, 4.107 Å; angles 90.00, 90.00, 90.00 degrees
Space group Cmmm (No. 65)
Asymmetric unit:
Y: 0.000 0.000 0.000 x2
Mg: 0.000 0.315 0.500 x4
As: 0.000 0.500 0.000 x2


The following is a DFT calculation (GGA-PBE) of a relaxed structure of Y2MgAs.

Calculated values
Energy of formation from the pure elements (eV per formula unit): -2.79
V (Å³/cell): 340.21
Polymorph energy (0 for the lowest one) (eV/atom): 0.005

Cell lengths 3.9576, 3.9576, 25.0823 Å; angles 90.00, 90.00, 120.00 degrees
Space group R-3m (No. 166, hexagonal axes)
Asymmetric unit:
Y: 0.0000 0.0000 0.2333 x6
Mg: 0.0000 0.0000 0.0000 x3
As: 0.0000 0.0000 0.5000 x3


The following is a DFT calculation (GGA-PBE) of a relaxed structure of Y2MgAs.

Calculated values
Energy of formation from the pure elements (eV per formula unit): -1.67
V (Å³/cell): 392.83
Polymorph energy (0 for the lowest one) (eV/atom): 0.285

Cell lengths 7.324, 7.324, 7.324 Å; angles 90.00, 90.00, 90.00 degrees
Space group Fm-3m (No. 225)
Asymmetric unit:
Y: 0.250 0.250 0.250 x8
Mg: 0.000 0.000 0.000 x4
As: 0.000 0.000 0.500 x4


The following is a DFT calculation (GGA-PBE) of a relaxed structure of YMgAs2.

Calculated values
Energy of formation from the pure elements (eV per formula unit): -2.77
V (Å³/cell): 179.02

Cell lengths 4.278, 5.703, 7.337 Å; angles 90.00, 90.00, 90.00 degrees
Space group Cmmm (No. 65)
Asymmetric unit:
Y: 0.000 0.000 0.000 x2
Mg: 0.000 0.000 0.500 x2
As: 0.000 0.500 0.258 x4


The following is a DFT calculation (GGA-PBE) of a relaxed structure of YMg2As.

Calculated values
Energy of formation from the pure elements (eV per formula unit): -0.87
V (Å³/cell): 371.11

Cell lengths 7.186, 7.186, 7.186 Å; angles 90.00, 90.00, 90.00 degrees
Space group F-43m (No. 216)
Asymmetric unit:
Y: 0.000 0.000 0.000 x4
Mg: 0.000 0.000 0.500 x4
Mg: 0.250 0.250 0.250 x4
As: 0.250 0.250 0.750 x4


The following is a DFT calculation (GGA-PBE) of a relaxed structure of Y2MgAs.

Calculated values
Energy of formation from the pure elements (eV per formula unit): 0.10
V (Å³/cell): 401.45
Polymorph energy (0 for the lowest one) (eV/atom): 0.727

Cell lengths 7.377, 7.377, 7.377 Å; angles 90.00, 90.00, 90.00 degrees
Space group F-43m (No. 216)
Asymmetric unit:
Y: 0.000 0.000 0.000 x4
Y: 0.250 0.250 0.250 x4
Mg: 0.000 0.000 0.500 x4
As: 0.250 0.250 0.750 x4


The following is a DFT calculation (GGA-PBE) of a relaxed structure of Y3MgAs.

Calculated values
Energy of formation from the pure elements (eV per formula unit): -1.98
V (Å³/cell): 161.10
Polymorph energy (0 for the lowest one) (eV/atom): 0.000

Cell lengths 5.441, 5.441, 5.441 Å; angles 90.00, 90.00, 90.00 degrees
Space group Pm-3m (No. 221)
Asymmetric unit:
Y: 0.000 0.000 0.500 x3
Mg: 0.500 0.500 0.500 x1
As: 0.000 0.000 0.000 x1


The following is a DFT calculation (GGA-PBE) of a relaxed structure of YMgAs2.

Calculated values
Energy of formation from the pure elements (eV per formula unit): -2.88
V (Å³/cell): 372.20

Cell lengths 7.355, 7.355, 6.880 Å; angles 90.00, 90.00, 90.00 degrees
Space group I-42d (No. 122)
Asymmetric unit:
Y: 0.000 0.000 0.000 x4
Mg: 0.000 0.000 0.500 x4
As: 0.228 0.250 0.625 x8


The following is a DFT calculation (GGA-PBE) of a relaxed structure of YMgAs2.

Calculated values
Energy of formation from the pure elements (eV per formula unit): -2.64
V (Å³/cell): 85.80

Cell lengths 3.691, 3.691, 6.299 Å; angles 90.00, 90.00, 90.00 degrees
Space group P4/mmm (No. 123)
Asymmetric unit:
Y: 0.000 0.000 0.000 x1
Mg: 0.000 0.000 0.500 x1
As: 0.500 0.500 0.250 x2


The following is a DFT calculation (GGA-PBE) of a relaxed structure of YMgAs2.

Calculated values
Energy of formation from the pure elements (eV per formula unit): -3.24
V (Å³/cell): 177.53

Cell lengths 10.871, 3.930, 4.219 Å; angles 90.00, 99.99, 90.00 degrees
Space group Cm (No. 8)
Asymmetric unit:
Y: 0.000 0.000 0.000 x2
Mg: 0.251 0.500 0.421 x2
As: 0.009 0.500 0.499 x2
As: 0.276 0.000 0.957 x2


The following is a DFT calculation (GGA-PBE) of a relaxed structure of Y2MgAs.

Calculated values
Energy of formation from the pure elements (eV per formula unit): -2.25
V (Å³/cell): 210.11
Polymorph energy (0 for the lowest one) (eV/atom): 0.140

Cell lengths 4.525, 5.480, 8.474 Å; angles 90.00, 90.00, 90.00 degrees
Space group Cmmm (No. 65)
Asymmetric unit:
Y: 0.000 0.000 0.211 x4
Mg: 0.000 0.500 0.500 x2
As: 0.000 0.500 0.000 x2


The following is a DFT calculation (GGA-PBE) of a relaxed structure of YMg2As.

Calculated values
Energy of formation from the pure elements (eV per formula unit): -0.94
V (Å³/cell): 93.63

Cell lengths 3.494, 3.494, 7.668 Å; angles 90.00, 90.00, 90.00 degrees
Space group P4/mmm (No. 123)
Asymmetric unit:
Y: 0.000 0.000 0.000 x1
Mg: 0.500 0.500 0.302 x2
As: 0.000 0.000 0.500 x1


The following is a DFT calculation (GGA-PBE) of a relaxed structure of Mg3ZnAs.

Calculated values
Energy of formation from the pure elements (eV per formula unit): 1.28
V (Å³/cell): 119.19
Polymorph energy (0 for the lowest one) (eV/atom): 0.155

Cell lengths 4.921, 4.921, 4.921 Å; angles 90.00, 90.00, 90.00 degrees
Space group Pm-3m (No. 221)
Asymmetric unit:
Mg: 0.000 0.000 0.500 x3
Zn: 0.000 0.000 0.000 x1
As: 0.500 0.500 0.500 x1


The following is a DFT calculation (GGA-PBE) of a relaxed structure of Mg2ZnAs.

Calculated values
Energy of formation from the pure elements (eV per formula unit): -0.23
V (Å³/cell): 234.03
Polymorph energy (0 for the lowest one) (eV/atom): 0.222

Cell lengths 3.2455, 3.2455, 25.6548 Å; angles 90.00, 90.00, 120.00 degrees
Space group R-3m (No. 166, hexagonal axes)
Asymmetric unit:
Mg: 0.0000 0.0000 0.2472 x6
Zn: 0.0000 0.0000 0.5000 x3
As: 0.0000 0.0000 0.0000 x3


The following is a DFT calculation (GGA-PBE) of a relaxed structure of MgZn2As.

Calculated values
Energy of formation from the pure elements (eV per formula unit): -0.12
V (Å³/cell): 72.42

Cell lengths 3.637, 3.637, 5.476 Å; angles 90.00, 90.00, 90.00 degrees
Space group P4mm (No. 99)
Asymmetric unit:
Mg: 0.000 0.000 0.000 x1
Zn: 0.000 0.000 0.496 x1
Zn: 0.500 0.500 0.294 x1
As: 0.500 0.500 0.782 x1


The following is a DFT calculation (GGA-PBE) of a relaxed structure of Mg2ZnAs.

Calculated values
Energy of formation from the pure elements (eV per formula unit): -0.40
V (Å³/cell): 78.86
Polymorph energy (0 for the lowest one) (eV/atom): 0.180

Cell lengths 3.777, 3.777, 5.528 Å; angles 90.00, 90.00, 90.00 degrees
Space group P4mm (No. 99)
Asymmetric unit:
Mg: 0.000 0.000 0.000 x1
Mg: 0.500 0.500 0.319 x1
Zn: 0.000 0.000 0.511 x1
As: 0.500 0.500 0.815 x1


The following is a DFT calculation (GGA-PBE) of a relaxed structure of MgZn2As.

Calculated values
Energy of formation from the pure elements (eV per formula unit): -0.34
V (Å³/cell): 70.54

Cell lengths 3.907, 3.907, 4.621 Å; angles 90.00, 90.00, 90.00 degrees
Space group P4/mmm (No. 123)
Asymmetric unit:
Mg: 0.000 0.000 0.000 x1
Zn: 0.000 0.500 0.500 x2
As: 0.500 0.500 0.000 x1


The following is a DFT calculation (GGA-PBE) of a relaxed structure of MgZn2As.

Calculated values
Energy of formation from the pure elements (eV per formula unit): 0.29
V (Å³/cell): 295.17

Cell lengths 6.658, 6.658, 6.658 Å; angles 90.00, 90.00, 90.00 degrees
Space group Fm-3m (No. 225)
Asymmetric unit:
Mg: 0.000 0.000 0.000 x4
Zn: 0.250 0.250 0.250 x8
As: 0.000 0.000 0.500 x4


The following is a DFT calculation (GGA-PBE) of a relaxed structure of Mg2Zn2As.

Calculated values
Energy of formation from the pure elements (eV per formula unit): 0.25
V (Å³/cell): 195.60
Polymorph energy (0 for the lowest one) (eV/atom): 0.057

Cell lengths 7.808, 7.808, 3.208 Å; angles 90.00, 90.00, 90.00 degrees
Space group P4/mbm (No. 127)
Asymmetric unit:
Mg: 0.183 0.317 0.000 x4
Zn: 0.115 0.615 0.500 x4
As: 0.000 0.000 0.000 x2


The following is a DFT calculation (GGA-PBE) of a relaxed structure of Mg2ZnAs.

Calculated values
Energy of formation from the pure elements (eV per formula unit): 0.02
V (Å³/cell): 346.75
Polymorph energy (0 for the lowest one) (eV/atom): 0.285

Cell lengths 4.423, 4.423, 17.723 Å; angles 90.00, 90.00, 90.00 degrees
Space group I-42d (No. 122)
Asymmetric unit:
Mg: 0.241 0.250 0.125 x8
Zn: 0.000 0.000 0.000 x4
As: 0.000 0.000 0.500 x4


The following is a DFT calculation (GGA-PBE) of a relaxed structure of Mg2ZnAs.

Calculated values
Energy of formation from the pure elements (eV per formula unit): -0.66
V (Å³/cell): 150.71
Polymorph energy (0 for the lowest one) (eV/atom): 0.115

Cell lengths 6.200, 7.996, 3.040 Å; angles 90.00, 90.00, 90.00 degrees
Space group Cmmm (No. 65)
Asymmetric unit:
Mg: 0.250 0.250 0.000 x4
Zn: 0.000 0.000 0.500 x2
As: 0.000 0.500 0.500 x2


The following is a DFT calculation (GGA-PBE) of a relaxed structure of MgZn2As.

Calculated values
Energy of formation from the pure elements (eV per formula unit): -0.30
V (Å³/cell): 72.22

Cell lengths 3.075, 3.916, 6.159 Å; angles 90.00, 103.18, 90.00 degrees
Space group Pm (No. 6)
Asymmetric unit:
Mg: 0.000 0.000 0.000 x1
Zn: 0.237 0.000 0.472 x1
Zn: 0.632 0.500 0.286 x1
As: 0.406 0.500 0.796 x1


Number 1: size of the total moment 0.0 Bohr magnetons per cell. Number 2: size of the total moment 0.0 Bohr magnetons per cell. Number 3: size of the total moment 0.0 Bohr magnetons per cell. Number 4: size of the total moment 0.0 Bohr magnetons per cell. Number 5: size of the total moment 2.7 Bohr magnetons per cell. Number 6: size of the total moment 0.0 Bohr magnetons per cell. Number 7: size of the total moment 0.9 Bohr magnetons per cell. Number 8: size of the total moment 0.0 Bohr magnetons per cell. Number 9: size of the total moment 0.0 Bohr magnetons per cell. Number 10: size of the total moment 0.0 Bohr magnetons per cell. Number 11: size of the total moment 0.0 Bohr magnetons per cell. Number 12: size of the total moment 0.0 Bohr magnetons per cell. Number 13: size of the total moment 0.0 Bohr magnetons per cell. Number 14: size of the total moment 0.0 Bohr magnetons per cell. Number 15: size of the total moment 0.0 Bohr magnetons per cell. Number 16: size of the total moment 0.0 Bohr magnetons per cell. Number 17: size of the total moment 0.0 Bohr magnetons per cell. Number 18: size of the total moment 0.0 Bohr magnetons per cell. Number 19: size of the total moment 0.3 Bohr magnetons per cell. Number 20: size of the total moment 0.0 Bohr magnetons per cell. Number 21: size of the total moment 0.0 Bohr magnetons per cell. Number 22: size of the total moment 0.0 Bohr magnetons per cell. Number 23: size of the total moment 0.0 Bohr magnetons per cell. Number 24: size of the total moment 0.0 Bohr magnetons per cell. Number 25: size of the total moment 0.0 Bohr magnetons per cell. Number 26: size of the total moment 0.0 Bohr magnetons per cell. Number 27: size of the total moment 0.0 Bohr magnetons per cell. Number 28: size of the total moment 0.0 Bohr magnetons per cell. Number 29: size of the total moment 0.0 Bohr magnetons per cell.